The following is a PBE-GGA calculation of a geometry-optimized RbHg2I6 structure, from Alexandria. Values from VASP.

Summary:
D(E_F) (states/eV/f.u.): 4.33
E (eV/atom): -1.661
Formation energy (no corrections) (eV per atom): -0.45
Symmetry: C2/c (15)

Quantum ESPRESSO input file:
```
&SYSTEM
  ibrav = 0, nat = 18, ntyp = 3
/
ATOMIC_SPECIES
Rb 85.47 Rb.upf
Hg 200.59 Hg.upf
I 126.90 I.upf
CELL_PARAMETERS angstrom
7.958 0.225 0.218
2.587 10.417 -0.375
2.587 -0.037 10.424
ATOMIC_POSITIONS angstrom
Rb 4.577 1.877 8.560
Rb 8.556 8.728 1.708
Hg 6.298 6.549 7.834
Hg 2.855 2.451 3.866
Hg 6.834 4.056 2.433
Hg 10.277 8.155 6.401
I 7.599 7.687 5.450
I 9.512 5.021 2.870
I 5.533 2.918 4.817
I 3.620 5.584 7.397
I 3.866 8.770 3.968
I 5.287 6.243 1.522
I 9.266 1.836 6.299
I 7.845 4.362 8.746
I 6.111 8.810 9.485
I 3.042 0.727 1.660
I 7.021 1.796 0.782
I 10.090 9.878 8.607
```